A plane-wave DFT calculation with PBE was carried out for TlAgW2 after structural relaxation.

Crystal system = monoclinic
V = 18.124 Å³/atom

a b c (Å): 2.817 4.864 5.382
angles (deg): 90.00 100.60 90.00
Space group P2/m (No. 10)
Unique sites:
Tl 0.000 0.000 0.000 [1 per cell]
Ag 0.500 0.000 0.500 [1 per cell]
W 0.228 0.500 0.736 [2 per cell]


A plane-wave DFT calculation with PBE was carried out for Tl2AgW after structural relaxation.

Crystal system = trigonal
V = 20.769 Å³/atom

a b c (Å): 3.1073 3.1073 29.8049
angles (deg): 90.00 90.00 120.00
Space group R-3m (No. 166, hexagonal axes)
Unique sites:
Tl 0.0000 0.0000 0.2492 [6 per cell]
Ag 0.0000 0.0000 0.0000 [3 per cell]
W 0.0000 0.0000 0.5000 [3 per cell]


A plane-wave DFT calculation with PBE was carried out for TlAgW2 after structural relaxation.

Crystal system = monoclinic
V = 17.994 Å³/atom

a b c (Å): 10.095 3.193 4.619
angles (deg): 90.00 104.77 90.00
Space group C2/m (No. 12)
Unique sites:
Tl 0.000 0.000 0.000 [2 per cell]
Ag 0.000 0.500 0.500 [2 per cell]
W 0.250 0.000 0.737 [4 per cell]


A plane-wave DFT calculation with PBE was carried out for Tl2AgW after structural relaxation.

Crystal system = trigonal
V = 21.328 Å³/atom

a b c (Å): 3.1247 3.1247 30.2669
angles (deg): 90.00 90.00 120.00
Space group R3m (No. 160, hexagonal axes)
Unique sites:
Tl 0.0000 0.0000 0.0000 [3 per cell]
Tl 0.0000 0.0000 0.2387 [3 per cell]
Ag 0.0000 0.0000 0.7521 [3 per cell]
W 0.0000 0.0000 0.4914 [3 per cell]


A plane-wave DFT calculation with PBE was carried out for Tl2AgW after structural relaxation.

Crystal system = monoclinic
V = 20.956 Å³/atom

a b c (Å): 2.996 4.746 5.898
angles (deg): 90.00 92.18 90.00
Space group P2/m (No. 10)
Unique sites:
Tl 0.204 0.000 0.242 [2 per cell]
Ag 0.000 0.500 0.500 [1 per cell]
W 0.500 0.500 0.000 [1 per cell]


A plane-wave DFT calculation with PBE was carried out for TlAgW after structural relaxation.

Crystal system = trigonal
V = 19.248 Å³/atom

a b c (Å): 2.9854 2.9854 7.4812
angles (deg): 90.00 90.00 120.00
Space group P3m1 (No. 156)
Unique sites:
Tl 0.0000 0.0000 0.0000 [1 per cell]
Ag 0.3333 0.6667 0.6494 [1 per cell]
W 0.6667 0.3333 0.3391 [1 per cell]


A plane-wave DFT calculation with PBE was carried out for Tl2AgW2 after structural relaxation.

Crystal system = tetragonal
V = 20.809 Å³/atom

a b c (Å): 7.435 7.435 3.764
angles (deg): 90.00 90.00 90.00
Space group P4/mbm (No. 127)
Unique sites:
Tl 0.181 0.319 0.000 [4 per cell]
Ag 0.000 0.000 0.500 [2 per cell]
W 0.116 0.616 0.500 [4 per cell]


A plane-wave DFT calculation with PBE was carried out for Tl2AgW after structural relaxation.

Crystal system = tetragonal
V = 20.596 Å³/atom

a b c (Å): 4.286 4.286 8.968
angles (deg): 90.00 90.00 90.00
Space group I4/mmm (No. 139)
Unique sites:
Tl 0.000 0.500 0.250 [4 per cell]
Ag 0.000 0.000 0.000 [2 per cell]
W 0.000 0.000 0.500 [2 per cell]


Calculated total energy? In order: -6.90 -4.42 -6.95 -4.42 -4.23 -5.30 -5.69 -4.10 eV per atom.